Density functional theory data (GGA-PBE) for a relaxed structure of CsNi4S2.

a b c (Å): 4.7701 4.7701 7.8003
angles (deg): 72.20 72.20 90.00
Element x y z (fractional)
Cs 0.0000 0.0000 0.0000
Ni 0.7388 0.7388 0.5224
Ni 0.2612 0.2612 0.4776
Ni 0.0000 0.5000 0.0000
Ni 0.5000 0.0000 0.0000
S 0.5956 0.5956 0.8088
S 0.4044 0.4044 0.1912

Results
- SG: No. 139


Density functional theory data (GGA-PBE) for a relaxed structure of CsNi2S2.

a b c (Å): 6.3541 6.3541 6.4115
angles (deg): 106.63 106.63 114.96
Element x y z (fractional)
Cs 0.8751 0.6249 0.7500
Cs 0.1249 0.3751 0.2500
Ni 0.2518 0.0017 0.5031
Ni 0.5017 0.7518 0.0031
Ni 0.7482 0.9983 0.4969
Ni 0.4983 0.2482 0.9969
S 0.2066 0.2934 0.7500
S 0.4566 0.0434 0.2500
S 0.5434 0.9566 0.7500
S 0.7934 0.7066 0.2500

Results
- SG: No. 70


Density functional theory data (GGA-PBE) for a relaxed structure of CsNiS3.

a b c (Å): 5.4470 5.4470 5.4470
angles (deg): 90.00 90.00 90.00
Site moments in Bohr magnetons follow the coordinates.
Element x y z (fractional)
Cs 0.0000 0.0000 0.0000  0.03
Ni 0.5000 0.5000 0.5000  1.08
S 0.0000 0.5000 0.0000  0.35
S 0.0000 0.0000 0.5000  0.23
S 0.5000 0.0000 0.0000  0.28

Results
- SG: No. 221
- Energy above the lowest structure with this stoichiometry: 1793 meV per atom


Density functional theory data (GGA-PBE) for a relaxed structure of CsNiS.

a b c (Å): 5.6893 3.8524 3.8524
angles (deg): 120.00 90.00 90.00
Element x y z (fractional)
Cs 0.6668 0.6667 0.3333
Ni 0.1665 0.3333 0.6667
S 0.1667 0.0000 0.0000

Results
- SG: No. 187


Density functional theory data (GGA-PBE) for a relaxed structure of CsNi3S.

a b c (Å): 4.7864 4.7864 4.7864
angles (deg): 90.00 90.00 90.00
Site moments in Bohr magnetons follow the coordinates.
Element x y z (fractional)
Cs 0.0000 0.0000 0.0000  -0.02
Ni 0.0000 0.5000 0.0000  0.32
Ni 0.0000 0.0000 0.5000  0.19
Ni 0.5000 0.0000 0.0000  0.33
S 0.5000 0.5000 0.5000  0.19

Results
- SG: No. 221
- Energy above the lowest structure with this stoichiometry: 1725 meV per atom


Density functional theory data (GGA-PBE) for a relaxed structure of CsNi3S.

a b c (Å): 4.4729 4.4729 4.4729
angles (deg): 90.00 90.00 90.00
Site moments in Bohr magnetons follow the coordinates.
Element x y z (fractional)
Cs 0.5000 0.5000 0.5000  0.00
Ni 0.0000 0.5000 0.0000  0.38
Ni 0.0000 0.0000 0.5000  0.19
Ni 0.5000 0.0000 0.0000  0.44
S 0.0000 0.0000 0.0000  0.04

Results
- SG: No. 221
- Energy above the lowest structure with this stoichiometry: 0 meV per atom


Density functional theory data (GGA-PBE) for a relaxed structure of CsNiS3.

a b c (Å): 4.7098 4.7098 4.7098
angles (deg): 90.00 90.00 90.00
Element x y z (fractional)
Cs 0.5000 0.5000 0.5000
Ni 0.0000 0.0000 0.0000
S 0.0000 0.5000 0.0000
S 0.0000 0.0000 0.5000
S 0.5000 0.0000 0.0000

Results
- SG: No. 221
- Energy above the lowest structure with this stoichiometry: 0 meV per atom


Density functional theory data (GGA-PBE) for a relaxed structure of Cs2NiSbS4.

a b c (Å): 6.3491 7.4733 12.9112
angles (deg): 84.00 75.77 64.86
Site moments in Bohr magnetons follow the coordinates.
Element x y z (fractional)
Cs 0.1799 0.0000 0.6403  0.00
Cs 0.8201 0.0000 0.3597  0.00
Cs 0.5701 0.5000 0.8597  0.00
Cs 0.9299 0.5000 0.1403  0.00
Ni 0.2500 0.5000 0.5000  0.77
Ni 0.5000 0.0000 0.0000  0.77
Sb 0.7500 0.5000 0.5000  -0.02
Sb 0.0000 0.0000 0.0000  -0.02
S 0.2875 0.8339 0.1071  0.03
S 0.2285 0.1661 0.8929  0.03
S 0.8786 0.8339 0.8929  0.03
S 0.6054 0.1661 0.1071  0.03
S 0.4625 0.6661 0.3929  0.03
S 0.5215 0.3339 0.6071  0.03
S 0.8714 0.6661 0.6071  0.03
S 0.1446 0.3339 0.3929  0.03

Results
- SG: No. 70


Density functional theory data (GGA-PBE) for a relaxed structure of CsScNiS3.

a b c (Å): 3.8141 9.1904 9.5787
angles (deg): 113.99 90.00 90.00
Site moments in Bohr magnetons follow the coordinates.
Element x y z (fractional)
Cs 0.2500 0.2160 0.2442  0.01
Cs 0.7500 0.7840 0.7558  0.01
Sc 0.2500 0.6661 0.1349  0.01
Sc 0.7500 0.3339 0.8651  0.01
Ni 0.2500 0.0779 0.5998  0.76
Ni 0.7500 0.9221 0.4002  0.76
S 0.7500 0.8630 0.1464  0.10
S 0.2500 0.1370 0.8536  0.10
S 0.2500 0.8206 0.4451  0.17
S 0.7500 0.1794 0.5549  0.17
S 0.7500 0.4810 0.1530  0.01
S 0.2500 0.5190 0.8470  0.01

Results
- SG: No. 11


Density functional theory data (GGA-PBE) for a relaxed structure of Cs2SiNiS4.

a b c (Å): 5.9107 7.4382 12.7079
angles (deg): 84.70 76.55 66.59
Site moments in Bohr magnetons follow the coordinates.
Element x y z (fractional)
Cs 0.1768 0.0000 0.6464  0.00
Cs 0.8232 0.0000 0.3536  0.00
Cs 0.5732 0.5000 0.8536  0.00
Cs 0.9268 0.5000 0.1464  0.00
Si 0.2500 0.5000 0.5000  -0.01
Si 0.5000 0.0000 0.0000  -0.01
Ni 0.7500 0.5000 0.5000  1.17
Ni 0.0000 0.0000 0.0000  1.17
S 0.3070 0.8295 0.0937  0.11
S 0.2302 0.1705 0.9063  0.11
S 0.8635 0.8295 0.9063  0.11
S 0.5993 0.1705 0.0937  0.11
S 0.4430 0.6705 0.4063  0.11
S 0.5198 0.3295 0.5937  0.11
S 0.8865 0.6705 0.5937  0.11
S 0.1507 0.3295 0.4063  0.11

Results
- SG: No. 70


Density functional theory data (GGA-PBE) for a relaxed structure of CsTaNi2S.

a b c (Å): 4.5031 4.7187 4.5031
angles (deg): 90.00 90.00 90.00
Element x y z (fractional)
Cs 0.5000 0.5000 0.5000
Ni 0.0000 0.0000 0.5000
Ni 0.5000 0.0000 0.0000
S 0.0000 0.0000 0.0000
Ta 0.0000 0.5000 0.0000

Results
- SG: No. 123


Density functional theory data (GGA-PBE) for a relaxed structure of CsTcNiS2.

a b c (Å): 4.7237 4.8532 4.7237
angles (deg): 90.00 90.00 90.00
Element x y z (fractional)
Cs 0.5000 0.5000 0.5000
Ni 0.0000 0.5000 0.0000
S 0.0000 0.0000 0.5000
S 0.5000 0.0000 0.0000
Tc 0.0000 0.0000 0.0000

Results
- SG: No. 123


Density functional theory data (GGA-PBE) for a relaxed structure of Cs2TiNiS4.

a b c (Å): 5.6738 7.6162 12.9834
angles (deg): 85.33 77.38 68.13
Site moments in Bohr magnetons follow the coordinates.
Element x y z (fractional)
Cs 0.1760 0.0000 0.6480  0.01
Cs 0.8240 0.0000 0.3520  0.01
Cs 0.5740 0.5000 0.8520  0.01
Cs 0.9260 0.5000 0.1480  0.01
Ti 0.7500 0.5000 0.5000  -0.05
Ti 0.0000 0.0000 0.0000  -0.05
Ni 0.2500 0.5000 0.5000  1.10
Ni 0.5000 0.0000 0.0000  1.10
S 0.2924 0.8219 0.0976  0.13
S 0.2119 0.1781 0.9024  0.13
S 0.8857 0.8219 0.9024  0.13
S 0.6100 0.1781 0.0976  0.13
S 0.4576 0.6781 0.4024  0.13
S 0.5381 0.3219 0.5976  0.13
S 0.8643 0.6781 0.5976  0.13
S 0.1400 0.3219 0.4024  0.13

Results
- SG: No. 70


Density functional theory data (GGA-PBE) for a relaxed structure of CsTl2NiS.

a b c (Å): 6.3265 4.1498 6.3265
angles (deg): 90.00 90.00 90.00
Element x y z (fractional)
Cs 0.5000 0.5000 0.5000
Ni 0.0000 0.5000 0.0000
Tl 0.0000 0.0000 0.5000
Tl 0.5000 0.0000 0.0000
S 0.0000 0.0000 0.0000

Results
- SG: No. 123


Density functional theory data (GGA-PBE) for a relaxed structure of CsUNiS4.

a b c (Å): 6.3142 5.8998 9.4919
angles (deg): 90.00 107.06 90.00
Element x y z (fractional)
Cs 0.7569 0.7500 0.9536
Cs 0.2431 0.2500 0.0464
U 0.7444 0.7500 0.4486
U 0.2556 0.2500 0.5514
Ni 0.2263 0.7500 0.3625
Ni 0.7737 0.2500 0.6375
S 0.0222 0.5155 0.6850
S 0.9778 0.0155 0.3150
S 0.9778 0.4845 0.3150
S 0.0222 0.9845 0.6850
S 0.4361 0.7500 0.2077
S 0.5639 0.2500 0.7923
S 0.4439 0.7500 0.5861
S 0.5561 0.2500 0.4139

Results
- SG: No. 11


Density functional theory data (GGA-PBE) for a relaxed structure of Cs3U3NiS8.

a b c (Å): 8.0646 7.8369 9.2595
angles (deg): 113.45 90.00 120.97
Site moments in Bohr magnetons follow the coordinates.
Element x y z (fractional)
Cs 0.0000 0.0000 0.0000  0.00
Cs 0.0000 0.5000 0.0000  0.00
Cs 0.5000 0.5000 0.0000  0.00
U 0.5000 0.0000 0.5000  2.05
U 0.5000 0.5000 0.5000  2.07
U 0.0000 0.5000 0.5000  2.07
Ni 0.0000 0.0000 0.5000  0.83
S 0.2716 0.5432 0.3154  -0.06
S 0.7284 0.4568 0.6846  -0.06
S 0.7995 0.5991 0.3438  -0.03
S 0.2005 0.4009 0.6562  -0.03
S 0.7660 0.0540 0.3190  -0.04
S 0.2340 0.9460 0.6810  -0.04
S 0.2880 0.0540 0.3190  -0.04
S 0.7120 0.9460 0.6810  -0.04

Results
- SG: No. 12


Density functional theory data (GGA-PBE) for a relaxed structure of Cs2UNi2S4.

a b c (Å): 3.8899 8.2225 7.3128
angles (deg): 107.17 105.42 90.00
Site moments in Bohr magnetons follow the coordinates.
Element x y z (fractional)
Cs 0.1421 0.5673 0.2843  0.00
Cs 0.8579 0.4327 0.7157  0.00
U 0.0000 0.0000 0.0000  1.14
Ni 0.6782 0.9849 0.3564  -0.26
Ni 0.3218 0.0151 0.6436  -0.26
S 0.1943 0.1380 0.3886  -0.05
S 0.8057 0.8620 0.6114  -0.05
S 0.5228 0.7881 0.0457  -0.04
S 0.4772 0.2119 0.9543  -0.04

Results
- SG: No. 12


Density functional theory data (GGA-PBE) for a relaxed structure of CsV2NiS8.

a b c (Å): 6.0571 6.0571 10.0863
angles (deg): 72.53 72.53 60.00
Element x y z (fractional)
Cs 0.5000 0.5000 0.5000
V 0.2665 0.2665 0.2004
V 0.7335 0.7335 0.7996
Ni 0.0000 0.0000 0.0000
S 0.1921 0.1921 0.4236
S 0.6471 0.2584 0.1426
S 0.8079 0.8079 0.5764
S 0.9519 0.6471 0.1426
S 0.0481 0.3529 0.8574
S 0.2584 0.9519 0.1426
S 0.7416 0.0481 0.8574
S 0.3529 0.7416 0.8574

Results
- SG: No. 148


Density functional theory data (GGA-PBE) for a relaxed structure of CsNiW2S8.

a b c (Å): 6.1328 6.1328 10.7181
angles (deg): 73.38 73.38 60.00
Site moments in Bohr magnetons follow the coordinates.
Element x y z (fractional)
Cs 0.5000 0.5000 0.5000  0.00
Ni 0.0000 0.0000 0.0000  0.55
W 0.2653 0.2653 0.2042  0.04
W 0.7347 0.7347 0.7958  0.04
S 0.1932 0.1932 0.4203  0.00
S 0.6441 0.2637 0.1381  0.04
S 0.8068 0.8068 0.5797  0.00
S 0.9541 0.6441 0.1381  0.04
S 0.0459 0.3559 0.8619  0.04
S 0.2637 0.9541 0.1381  0.04
S 0.7363 0.0459 0.8619  0.04
S 0.3559 0.7363 0.8619  0.04

Results
- SG: No. 148


Density functional theory data (GGA-PBE) for a relaxed structure of Cs2NiWS4.

a b c (Å): 5.4108 7.7087 12.8102
angles (deg): 85.75 77.81 69.45
Element x y z (fractional)
Cs 0.1751 0.0000 0.6499
Cs 0.8249 0.0000 0.3501
Cs 0.5749 0.5000 0.8501
Cs 0.9251 0.5000 0.1499
Ni 0.7500 0.5000 0.5000
Ni 0.0000 0.0000 0.0000
W 0.2500 0.5000 0.5000
W 0.5000 0.0000 0.0000
S 0.2912 0.8206 0.1005
S 0.2123 0.1794 0.8995
S 0.8882 0.8206 0.8995
S 0.6083 0.1794 0.1005
S 0.4588 0.6794 0.3995
S 0.5377 0.3206 0.6005
S 0.8618 0.6794 0.6005
S 0.1417 0.3206 0.3995

Results
- SG: No. 70


Density functional theory data (GGA-PBE) for a relaxed structure of Cs3Zr3NiS8.

a b c (Å): 7.5348 7.5369 9.2460
angles (deg): 114.07 90.00 119.97
Site moments in Bohr magnetons follow the coordinates.
Element x y z (fractional)
Cs 0.0000 0.0000 0.0000  0.00
Cs 0.0000 0.5000 0.0000  0.00
Cs 0.5000 0.5000 0.0000  0.00
Zr 0.5000 0.0000 0.5000  0.01
Zr 0.5000 0.5000 0.5000  0.01
Zr 0.0000 0.5000 0.5000  0.01
Ni 0.0000 0.0000 0.5000  1.18
S 0.2732 0.5465 0.3193  0.00
S 0.7268 0.4535 0.6807  0.00
S 0.7790 0.5580 0.3302  0.05
S 0.2210 0.4420 0.6698  0.05
S 0.7787 0.0515 0.3302  0.05
S 0.2213 0.9485 0.6698  0.05
S 0.2726 0.0514 0.3302  0.05
S 0.7274 0.9486 0.6698  0.05

Results
- SG: No. 166


Density functional theory data (GGA-PBE) for a relaxed structure of CsZrNiS4.

a b c (Å): 6.4884 5.5600 9.6070
angles (deg): 90.00 105.43 90.00
Site moments in Bohr magnetons follow the coordinates.
Element x y z (fractional)
Cs 0.7698 0.7500 0.9555  0.00
Cs 0.2302 0.2500 0.0445  0.00
Zr 0.7328 0.7500 0.4457  0.00
Zr 0.2672 0.2500 0.5543  0.00
Ni 0.2598 0.7500 0.3428  0.37
Ni 0.7402 0.2500 0.6572  0.37
S 0.9996 0.5024 0.6720  0.03
S 0.0004 0.0024 0.3280  0.03
S 0.0004 0.4976 0.3280  0.03
S 0.9996 0.9976 0.6720  0.03
S 0.4729 0.7500 0.1997  0.05
S 0.5271 0.2500 0.8003  0.05
S 0.4248 0.7500 0.5751  0.08
S 0.5752 0.2500 0.4249  0.08

Results
- SG: No. 11


Number 1: E -3.442 eV per atom, formation energy without anion corrections 8.14 eV per formula unit. Number 2: E -4.624 eV per atom, formation energy without anion corrections -2.45 eV per formula unit. Number 3: E -2.008 eV per atom, formation energy without anion corrections 8.98 eV per formula unit. Number 4: E -4.127 eV per atom, formation energy without anion corrections -1.62 eV per formula unit. Number 5: E -2.374 eV per atom, formation energy without anion corrections 10.46 eV per formula unit. Number 6: E -4.099 eV per atom, formation energy without anion corrections 1.83 eV per formula unit. Number 7: E -3.801 eV per atom, formation energy without anion corrections 0.01 eV per formula unit. Number 8: E -4.085 eV per atom, formation energy without anion corrections -4.56 eV per formula unit. Number 9: E -5.472 eV per atom, formation energy without anion corrections -7.48 eV per formula unit. Number 10: E -4.567 eV per atom, formation energy without anion corrections -7.11 eV per formula unit. Number 11: E -4.907 eV per atom, formation energy without anion corrections 3.86 eV per formula unit. Number 12: E -5.007 eV per atom, formation energy without anion corrections 0.22 eV per formula unit. Number 13: E -5.111 eV per atom, formation energy without anion corrections -8.99 eV per formula unit. Number 14: E -3.093 eV per atom, formation energy without anion corrections 0.03 eV per formula unit. Number 15: E -5.968 eV per atom, formation energy without anion corrections -7.34 eV per formula unit. Number 16: E -6.191 eV per atom, formation energy without anion corrections -17.64 eV per formula unit. Number 17: E -5.605 eV per atom, formation energy without anion corrections -9.38 eV per formula unit. Number 18: E -5.253 eV per atom, formation energy without anion corrections -5.15 eV per formula unit. Number 19: E -5.893 eV per atom, formation energy without anion corrections -5.16 eV per formula unit. Number 20: E -5.566 eV per atom, formation energy without anion corrections -7.58 eV per formula unit. Number 21: E -5.730 eV per atom, formation energy without anion corrections -18.94 eV per formula unit. Number 22: E -5.465 eV per atom, formation energy without anion corrections -6.56 eV per formula unit.